Entry 1:
FeBSe2N: optimized geometry, GGA-PBE.

```
data_FeBSe2N
_space_group_name_H-M_alt 'P 4/m m m'
_space_group_IT_number 123
_space_group_name_Hall '-P 4 2'
_cell_length_a 4.843
_cell_length_b 4.843
_cell_length_c 3.357
_cell_angle_alpha 90.00
_cell_angle_beta 90.00
_cell_angle_gamma 90.00
loop_
_atom_site_label
_atom_site_fract_x
_atom_site_fract_y
_atom_site_fract_z
_atom_site_occupancy
Fe1 0.000 0.000 0.000 1
B1 0.500 0.500 0.500 1
Se1 0.000 0.500 0.000 1
N1 0.000 0.000 0.500 1
```

- Energy: -5.02 eV per atom
- Energy above the lowest structure with this stoichiometry: 431 meV/atom
- Formation energy from raw total energies: 5.3 eV per formula unit

---

Entry 2:
FeBSe2N: optimized geometry, GGA-PBE.

```
data_FeBSe2N
_space_group_name_H-M_alt 'P 4/m m m'
_space_group_IT_number 123
_space_group_name_Hall '-P 4 2'
_cell_length_a 5.326
_cell_length_b 5.326
_cell_length_c 2.694
_cell_angle_alpha 90.00
_cell_angle_beta 90.00
_cell_angle_gamma 90.00
loop_
_atom_site_label
_atom_site_fract_x
_atom_site_fract_y
_atom_site_fract_z
_atom_site_occupancy
Fe1 0.000 0.000 0.000 1
B1 0.500 0.500 0.500 1
Se1 0.000 0.500 0.500 1
N1 0.500 0.500 0.000 1
```

- Energy: -5.45 eV per atom
- Energy above the lowest structure with this stoichiometry: 0 meV/atom
- Formation energy from raw total energies: 3.2 eV per formula unit

---

Entry 3:
FeSiBN2: optimized geometry, GGA-PBE.

```
data_FeSiBN2
_space_group_name_H-M_alt 'P 4/m m m'
_space_group_IT_number 123
_space_group_name_Hall '-P 4 2'
_cell_length_a 3.097
_cell_length_b 3.097
_cell_length_c 7.199
_cell_angle_alpha 90.00
_cell_angle_beta 90.00
_cell_angle_gamma 90.00
loop_
_atom_site_label
_atom_site_fract_x
_atom_site_fract_y
_atom_site_fract_z
_atom_site_occupancy
Fe1 0.000 0.000 0.000 1
Si1 0.500 0.500 0.000 1
B1 0.500 0.500 0.500 1
N1 0.000 0.500 0.500 1
```

- Energy: -6.32 eV per atom
- Formation energy from raw total energies: 5.6 eV per formula unit

---

Entry 4:
FeBTeN2: optimized geometry, GGA-PBE.

```
data_FeBTeN2
_space_group_name_H-M_alt 'P 4/m m m'
_space_group_IT_number 123
_space_group_name_Hall '-P 4 2'
_cell_length_a 3.330
_cell_length_b 3.330
_cell_length_c 6.780
_cell_angle_alpha 90.00
_cell_angle_beta 90.00
_cell_angle_gamma 90.00
loop_
_atom_site_label
_atom_site_fract_x
_atom_site_fract_y
_atom_site_fract_z
_atom_site_occupancy
Fe1 0.000 0.000 0.000 1
B1 0.500 0.500 0.500 1
Te1 0.500 0.500 0.000 1
N1 0.000 0.500 0.500 1
```

- Energy: -5.50 eV per atom
- Energy above the lowest structure with this stoichiometry: 243 meV/atom
- Formation energy from raw total energies: 7.4 eV per formula unit

---

Entry 5:
FeBTe2N: optimized geometry, GGA-PBE.

```
data_FeBTe2N
_space_group_name_H-M_alt 'P 4/m m m'
_space_group_IT_number 123
_space_group_name_Hall '-P 4 2'
_cell_length_a 6.057
_cell_length_b 6.057
_cell_length_c 2.715
_cell_angle_alpha 90.00
_cell_angle_beta 90.00
_cell_angle_gamma 90.00
loop_
_atom_site_label
_atom_site_fract_x
_atom_site_fract_y
_atom_site_fract_z
_atom_site_occupancy
Fe1 0.000 0.000 0.000 1
B1 0.500 0.500 0.500 1
Te1 0.000 0.500 0.500 1
N1 0.500 0.500 0.000 1
```

- Energy: -5.43 eV per atom
- Energy above the lowest structure with this stoichiometry: 0 meV/atom
- Formation energy from raw total energies: 2.6 eV per formula unit

---

Entry 6:
FeBTe2N: optimized geometry, GGA-PBE.

```
data_FeBTe2N
_space_group_name_H-M_alt 'P 4/m m m'
_space_group_IT_number 123
_space_group_name_Hall '-P 4 2'
_cell_length_a 5.191
_cell_length_b 5.191
_cell_length_c 3.365
_cell_angle_alpha 90.00
_cell_angle_beta 90.00
_cell_angle_gamma 90.00
loop_
_atom_site_label
_atom_site_fract_x
_atom_site_fract_y
_atom_site_fract_z
_atom_site_occupancy
Fe1 0.000 0.000 0.000 1
B1 0.500 0.500 0.500 1
Te1 0.000 0.500 0.000 1
N1 0.000 0.000 0.500 1
```

- Energy: -5.00 eV per atom
- Energy above the lowest structure with this stoichiometry: 432 meV/atom
- Formation energy from raw total energies: 4.8 eV per formula unit

---

Entry 7:
FeBTeN2: optimized geometry, GGA-PBE.

```
data_FeBTeN2
_space_group_name_H-M_alt 'P 4/m m m'
_space_group_IT_number 123
_space_group_name_Hall '-P 4 2'
_cell_length_a 3.527
_cell_length_b 3.527
_cell_length_c 5.538
_cell_angle_alpha 90.00
_cell_angle_beta 90.00
_cell_angle_gamma 90.00
loop_
_atom_site_label
_atom_site_fract_x
_atom_site_fract_y
_atom_site_fract_z
_atom_site_occupancy
Fe1 0.000 0.000 0.000 1
B1 0.500 0.500 0.500 1
Te1 0.000 0.000 0.500 1
N1 0.000 0.500 0.000 1
```

- Energy: -5.74 eV per atom
- Energy above the lowest structure with this stoichiometry: 0 meV/atom
- Formation energy from raw total energies: 6.2 eV per formula unit

---

Entry 8:
Na2FeB: optimized geometry, GGA-PBE.

```
data_Na2FeB
_space_group_name_H-M_alt 'I -4 2 d'
_space_group_IT_number 122
_space_group_name_Hall 'I -4 2bw'
_cell_length_a 10.142
_cell_length_b 10.142
_cell_length_c 3.823
_cell_angle_alpha 90.00
_cell_angle_beta 90.00
_cell_angle_gamma 90.00
loop_
_atom_site_label
_atom_site_fract_x
_atom_site_fract_y
_atom_site_fract_z
_atom_site_occupancy
Na1 0.071 0.750 0.125 1
Fe1 0.000 0.000 0.500 1
B1 0.000 0.000 0.000 1
```

- Energy: -3.67 eV per atom
- ΔE_f: 0.776 eV/atom